Entry 1:
## Si2PPb (PBE-GGA)

Data for a relaxed structure of Si2PPb.

Unit cell a=3.3787 b=3.3782 c=6.8723 alpha=90.00 beta=90.00 gamma=90.00
Atoms (fractional coordinates):
Pb (0.5000, 0.5000, 0.7500)
Si (0.0000, 0.0000, 0.0769)
Si (0.0000, 0.0000, 0.4231)
P (0.5000, 0.5000, 0.2500)

Summary:
The calculation puts the uncorrected formation energy at 467 meV/atom.

=====

Entry 2:
## SiP2Pb (PBE-GGA)

Data for a relaxed structure of SiP2Pb.

Unit cell a=3.7360 b=3.6215 c=6.0272 alpha=90.00 beta=90.00 gamma=90.00
Atoms (fractional coordinates):
P (0.0000, 0.0000, 0.9282)
P (0.0000, 0.0000, 0.5718)
Pb (0.5000, 0.5000, 0.2500)
Si (0.5000, 0.5000, 0.7500)

Summary:
The calculation puts the uncorrected formation energy at 420 meV/atom.

=====

Number 1: magnetic moment 0.00 Bohr magnetons per cell, final energy -4.52 eV/atom, D(E_F) 2.50 states/eV/f.u.. Number 2: magnetic moment 0.00 Bohr magnetons per cell, final energy -4.57 eV/atom, D(E_F) 1.59 states/eV/f.u..